Record 1
This record from Alexandria via LeMat-Bulk describes a PBEsol-optimized structure of Pt3Rh. The functional is meta-GGA SCAN.

The space group is P-6m2 (No. 187) and the conventional cell measures 2.7197, 2.7197 and 9.1897 Å, with angles of 90.00, 90.00 and 120.00 degrees. The distinct sites, in fractional coordinates, are Pt at (0.0000, 0.0000, 0.0000), Pt at (0.3333, 0.6667, 0.2566) and Rh at (0.0000, 0.0000, 0.5000).

***

Record 2
This record from Alexandria via LeMat-Bulk describes a PBEsol-optimized structure of PtRh3. The functional is meta-GGA SCAN.

The space group is C2/m (No. 12) and the conventional cell measures 8.931, 2.695 and 4.669 Å, with angles of 90.00, 100.06 and 90.00 degrees. The distinct sites, in fractional coordinates, are Pt at (0.000, 0.000, 0.000), Rh at (0.000, 0.500, 0.500) and Rh at (0.248, 0.000, 0.746).

***

| no. | ΔE_f (eV per atom) |
| --- | --- |
| 1 | 0.08 |
| 2 | -0.02 |